(w)
Density functional theory data (PBE-GGA) for an optimized crystal structure of DyLu2Os. Values from VASP.

```
&SYSTEM
  ibrav = 0, nat = 4, ntyp = 3
/
ATOMIC_SPECIES
Dy 162.50 Dy.upf
Lu 174.97 Lu.upf
Os 190.23 Os.upf
CELL_PARAMETERS angstrom
1.6742 0.9666 10.7897
-1.6742 0.9666 10.7897
0.0000 -1.9332 10.7897
ATOMIC_POSITIONS crystal
Dy 0.0000 0.0000 0.0000
Lu 0.1047 0.1047 0.1047
Lu 0.8953 0.8953 0.8953
Os 0.5000 0.5000 0.5000
```

***

(x)
Density functional theory data (PBE-GGA) for an optimized crystal structure of DyLu2Os. Values from VASP.

```
&SYSTEM
  ibrav = 0, nat = 4, ntyp = 3
/
ATOMIC_SPECIES
Dy 162.50 Dy.upf
Lu 174.97 Lu.upf
Os 190.23 Os.upf
CELL_PARAMETERS angstrom
3.3527 0.0000 0.0000
0.0000 3.3527 0.0000
0.0000 0.0000 8.9349
ATOMIC_POSITIONS crystal
Dy 0.0000 0.0000 0.0000
Lu 0.5000 0.5000 0.3194
Lu 0.5000 0.5000 0.6806
Os 0.0000 0.0000 0.5000
```

***

Which one sits at the top of the stability order? (x) does.

***

(w)
Density functional theory data (PBE-GGA) for an optimized crystal structure of Dy2LuPa. Values from VASP.

```
&SYSTEM
  ibrav = 0, nat = 4, ntyp = 3
/
ATOMIC_SPECIES
Dy 162.50 Dy.upf
Lu 174.97 Lu.upf
Pa 231.04 Pa.upf
CELL_PARAMETERS angstrom
1.6562 0.9562 12.1133
-1.6562 0.9562 12.1133
0.0000 -1.9125 12.1133
ATOMIC_POSITIONS crystal
Dy 0.0880 0.0880 0.0880
Dy 0.9120 0.9120 0.9120
Lu 0.5000 0.5000 0.5000
Pa 0.0000 0.0000 0.0000
```

***

(x)
Density functional theory data (PBE-GGA) for an optimized crystal structure of Dy2LuPa. Values from VASP.

```
&SYSTEM
  ibrav = 0, nat = 4, ntyp = 3
/
ATOMIC_SPECIES
Dy 162.50 Dy.upf
Lu 174.97 Lu.upf
Pa 231.04 Pa.upf
CELL_PARAMETERS angstrom
0.0000 3.9058 3.9058
3.9058 0.0000 3.9058
3.9058 3.9058 0.0000
ATOMIC_POSITIONS crystal
Dy 0.2500 0.2500 0.2500
Dy 0.7500 0.7500 0.7500
Lu 0.0000 0.0000 0.0000
Pa 0.5000 0.5000 0.5000
```

***

Which one sits at the top of the stability order? (w) does.

***

(w)
Density functional theory data (PBE-GGA) for an optimized crystal structure of Dy2LuPa. Values from VASP.

```
&SYSTEM
  ibrav = 0, nat = 4, ntyp = 3
/
ATOMIC_SPECIES
Dy 162.50 Dy.upf
Lu 174.97 Lu.upf
Pa 231.04 Pa.upf
CELL_PARAMETERS angstrom
5.7584 0.0000 0.0000
0.0000 5.7584 0.0000
0.0000 0.0000 3.4882
ATOMIC_POSITIONS crystal
Dy 0.0000 0.5000 0.0000
Dy 0.5000 0.0000 0.0000
Lu 0.0000 0.0000 0.5000
Pa 0.5000 0.5000 0.5000
```

***

(x)
Density functional theory data (PBE-GGA) for an optimized crystal structure of Dy2LuPa. Values from VASP.

```
&SYSTEM
  ibrav = 0, nat = 4, ntyp = 3
/
ATOMIC_SPECIES
Dy 162.50 Dy.upf
Lu 174.97 Lu.upf
Pa 231.04 Pa.upf
CELL_PARAMETERS angstrom
3.3984 0.0000 0.0000
0.0000 3.3984 0.0000
0.0000 0.0000 10.0875
ATOMIC_POSITIONS crystal
Dy 0.0000 0.0000 0.2366
Dy 0.0000 0.0000 0.7634
Lu 0.5000 0.5000 0.5000
Pa 0.5000 0.5000 0.0000
```

***

Which one sits at the top of the stability order? (x) does.

***

(w)
Density functional theory data (PBE-GGA) for an optimized crystal structure of DyLu2Pb. Values from VASP.

```
&SYSTEM
  ibrav = 0, nat = 4, ntyp = 3
/
ATOMIC_SPECIES
Dy 162.50 Dy.upf
Lu 174.97 Lu.upf
Pb 207.20 Pb.upf
CELL_PARAMETERS angstrom
3.6048 0.0000 0.0000
0.0000 3.6048 0.0000
0.0000 0.0000 8.9840
ATOMIC_POSITIONS crystal
Dy 0.0000 0.0000 0.0000
Lu 0.5000 0.5000 0.2632
Lu 0.5000 0.5000 0.7368
Pb 0.0000 0.0000 0.5000
```

***

(x)
Density functional theory data (PBE-GGA) for an optimized crystal structure of DyLu2Pb. Values from VASP.

```
&SYSTEM
  ibrav = 0, nat = 4, ntyp = 3
/
ATOMIC_SPECIES
Dy 162.50 Dy.upf
Lu 174.97 Lu.upf
Pb 207.20 Pb.upf
CELL_PARAMETERS angstrom
1.7446 1.0072 11.8176
-1.7446 1.0072 11.8176
0.0000 -2.0144 11.8176
ATOMIC_POSITIONS crystal
Dy 0.0000 0.0000 0.0000
Lu 0.4118 0.4118 0.4118
Lu 0.5882 0.5882 0.5882
Pb 0.5000 0.5000 0.5000
```

***

Which one sits at the top of the stability order? (w) does.

***

(w)
Density functional theory data (PBE-GGA) for an optimized crystal structure of DyLuPb. Values from VASP.

```
&SYSTEM
  ibrav = 0, nat = 3, ntyp = 3
/
ATOMIC_SPECIES
Dy 162.50 Dy.upf
Lu 174.97 Lu.upf
Pb 207.20 Pb.upf
CELL_PARAMETERS angstrom
-1.7837 1.7837 6.8497
1.7837 -1.7837 6.8497
1.7837 1.7837 -6.8497
ATOMIC_POSITIONS crystal
Dy 0.0000 0.0000 0.0000
Lu 0.6758 0.6758 0.0000
Pb 0.3355 0.3355 0.0000
```

***

(x)
Density functional theory data (PBE-GGA) for an optimized crystal structure of DyLuPb. Values from VASP.

```
&SYSTEM
  ibrav = 0, nat = 3, ntyp = 3
/
ATOMIC_SPECIES
Dy 162.50 Dy.upf
Lu 174.97 Lu.upf
Pb 207.20 Pb.upf
CELL_PARAMETERS angstrom
5.2669 0.0000 0.0000
-2.6335 4.5613 0.0000
0.0000 0.0000 3.6718
ATOMIC_POSITIONS crystal
Dy 0.0000 0.0000 0.0000
Lu 0.3333 0.6667 0.5352
Pb 0.6667 0.3333 0.3188
```

***

Which one sits at the top of the stability order? (w) does.

***

(w)
Density functional theory data (PBE-GGA) for an optimized crystal structure of Dy2LuPd. Values from VASP.

```
&SYSTEM
  ibrav = 0, nat = 4, ntyp = 3
/
ATOMIC_SPECIES
Dy 162.50 Dy.upf
Lu 174.97 Lu.upf
Pd 106.42 Pd.upf
CELL_PARAMETERS angstrom
3.5673 0.0000 0.0000
0.0000 3.5673 0.0000
0.0000 0.0000 8.2437
ATOMIC_POSITIONS crystal
Dy 0.0000 0.0000 0.2039
Dy 0.0000 0.0000 0.7961
Lu 0.5000 0.5000 0.5000
Pd 0.5000 0.5000 0.0000
```

***

(x)
Density functional theory data (PBE-GGA) for an optimized crystal structure of Dy2LuPd. Values from VASP.

```
&SYSTEM
  ibrav = 0, nat = 4, ntyp = 3
/
ATOMIC_SPECIES
Dy 162.50 Dy.upf
Lu 174.97 Lu.upf
Pd 106.42 Pd.upf
CELL_PARAMETERS angstrom
1.7768 1.0259 10.5839
-1.7768 1.0259 10.5839
0.0000 -2.0517 10.5839
ATOMIC_POSITIONS crystal
Dy 0.1049 0.1049 0.1049
Dy 0.8951 0.8951 0.8951
Lu 0.0000 0.0000 0.0000
Pd 0.5000 0.5000 0.5000
```

***

Which one sits at the top of the stability order? (w) does.

***

(w)
Density functional theory data (PBE-GGA) for an optimized crystal structure of DyLu2Pd. Values from VASP.

```
&SYSTEM
  ibrav = 0, nat = 4, ntyp = 3
/
ATOMIC_SPECIES
Dy 162.50 Dy.upf
Lu 174.97 Lu.upf
Pd 106.42 Pd.upf
CELL_PARAMETERS angstrom
3.5064 0.0000 0.0000
0.0000 3.5064 0.0000
0.0000 0.0000 8.2857
ATOMIC_POSITIONS crystal
Dy 0.0000 0.0000 0.0000
Lu 0.5000 0.5000 0.3013
Lu 0.5000 0.5000 0.6987
Pd 0.0000 0.0000 0.5000
```

***

(x)
Density functional theory data (PBE-GGA) for an optimized crystal structure of DyLu2Pd. Values from VASP.

```
&SYSTEM
  ibrav = 0, nat = 4, ntyp = 3
/
ATOMIC_SPECIES
Dy 162.50 Dy.upf
Lu 174.97 Lu.upf
Pd 106.42 Pd.upf
CELL_PARAMETERS angstrom
2.4992 1.4429 4.6372
-2.4992 1.4429 4.6372
0.0000 -2.8859 4.6372
ATOMIC_POSITIONS crystal
Dy 0.0000 0.0000 0.0000
Lu 0.2324 0.2324 0.2324
Lu 0.7676 0.7676 0.7676
Pd 0.5000 0.5000 0.5000
```

***

Which one sits at the top of the stability order? (w) does.

***

(w)
Density functional theory data (PBE-GGA) for an optimized crystal structure of DyLuPd2. Values from VASP.

```
&SYSTEM
  ibrav = 0, nat = 4, ntyp = 3
/
ATOMIC_SPECIES
Dy 162.50 Dy.upf
Lu 174.97 Lu.upf
Pd 106.42 Pd.upf
CELL_PARAMETERS angstrom
2.0277 1.1707 6.5462
-2.0277 1.1707 6.5462
0.0000 -2.3414 6.5462
ATOMIC_POSITIONS crystal
Dy 0.0000 0.0000 0.0000
Lu 0.5000 0.5000 0.5000
Pd 0.2469 0.2469 0.2469
Pd 0.7531 0.7531 0.7531
```

***

(x)
Density functional theory data (PBE-GGA) for an optimized crystal structure of DyLuPd2. Values from VASP.

```
&SYSTEM
  ibrav = 0, nat = 4, ntyp = 3
/
ATOMIC_SPECIES
Dy 162.50 Dy.upf
Lu 174.97 Lu.upf
Pd 106.42 Pd.upf
CELL_PARAMETERS angstrom
4.9491 0.0000 0.0000
0.0000 4.9491 0.0000
0.0000 0.0000 3.4150
ATOMIC_POSITIONS crystal
Dy 0.0000 0.0000 0.0000
Lu 0.5000 0.5000 0.0000
Pd 0.0000 0.5000 0.5000
Pd 0.5000 0.0000 0.5000
```

***

Which one sits at the top of the stability order? (x) does.

***

(w)
Density functional theory data (PBE-GGA) for an optimized crystal structure of Pm2DyLu. Values from VASP.

```
&SYSTEM
  ibrav = 0, nat = 4, ntyp = 3
/
ATOMIC_SPECIES
Pm 145.00 Pm.upf
Dy 162.50 Dy.upf
Lu 174.97 Lu.upf
CELL_PARAMETERS angstrom
0.0000 4.0257 4.0257
4.0257 0.0000 4.0257
4.0257 4.0257 0.0000
ATOMIC_POSITIONS crystal
Pm 0.2500 0.2500 0.2500
Pm 0.7500 0.7500 0.7500
Dy 0.0000 0.0000 0.0000
Lu 0.5000 0.5000 0.5000
```

***

(x)
Density functional theory data (PBE-GGA) for an optimized crystal structure of Pm2DyLu. Values from VASP.

```
&SYSTEM
  ibrav = 0, nat = 4, ntyp = 3
/
ATOMIC_SPECIES
Pm 145.00 Pm.upf
Dy 162.50 Dy.upf
Lu 174.97 Lu.upf
CELL_PARAMETERS angstrom
5.0782 0.0000 0.0000
0.0000 5.0782 0.0000
0.0000 0.0000 5.0036
ATOMIC_POSITIONS crystal
Pm 0.0000 0.5000 0.0000
Pm 0.5000 0.0000 0.0000
Dy 0.0000 0.0000 0.5000
Lu 0.5000 0.5000 0.5000
```

***

Which one sits at the top of the stability order? (x) does.

***

(w)
Density functional theory data (PBE-GGA) for an optimized crystal structure of PmDyYLu. Values from VASP.

```
&SYSTEM
  ibrav = 0, nat = 4, ntyp = 4
/
ATOMIC_SPECIES
Pm 145.00 Pm.upf
Dy 162.50 Dy.upf
Y 88.91 Y.upf
Lu 174.97 Lu.upf
CELL_PARAMETERS angstrom
0.0000 4.0111 4.0111
4.0111 0.0000 4.0111
4.0111 4.0111 0.0000
ATOMIC_POSITIONS crystal
Pm 0.0000 0.0000 0.0000
Dy 0.2500 0.2500 0.2500
Y 0.5000 0.5000 0.5000
Lu 0.7500 0.7500 0.7500
```

***

(x)
Density functional theory data (PBE-GGA) for an optimized crystal structure of PmDyYLu. Values from VASP.

```
&SYSTEM
  ibrav = 0, nat = 4, ntyp = 4
/
ATOMIC_SPECIES
Pm 145.00 Pm.upf
Dy 162.50 Dy.upf
Y 88.91 Y.upf
Lu 174.97 Lu.upf
CELL_PARAMETERS angstrom
0.0000 4.0091 4.0091
4.0091 0.0000 4.0091
4.0091 4.0091 0.0000
ATOMIC_POSITIONS crystal
Pm 0.0000 0.0000 0.0000
Dy 0.5000 0.5000 0.5000
Y 0.2500 0.2500 0.2500
Lu 0.7500 0.7500 0.7500
```

***

Which one sits at the top of the stability order? (x) does.

***

(w)
Density functional theory data (PBE-GGA) for an optimized crystal structure of PrDyLu2. Values from VASP.

```
&SYSTEM
  ibrav = 0, nat = 4, ntyp = 3
/
ATOMIC_SPECIES
Pr 140.91 Pr.upf
Dy 162.50 Dy.upf
Lu 174.97 Lu.upf
CELL_PARAMETERS angstrom
0.0000 3.9924 3.9924
3.9924 0.0000 3.9924
3.9924 3.9924 0.0000
ATOMIC_POSITIONS crystal
Pr 0.0000 0.0000 0.0000
Dy 0.5000 0.5000 0.5000
Lu 0.2500 0.2500 0.2500
Lu 0.7500 0.7500 0.7500
```

***

(x)
Density functional theory data (PBE-GGA) for an optimized crystal structure of PrDyLu2. Values from VASP.

```
&SYSTEM
  ibrav = 0, nat = 4, ntyp = 3
/
ATOMIC_SPECIES
Pr 140.91 Pr.upf
Dy 162.50 Dy.upf
Lu 174.97 Lu.upf
CELL_PARAMETERS angstrom
5.0401 0.0000 0.0000
0.0000 5.0401 0.0000
0.0000 0.0000 4.9551
ATOMIC_POSITIONS crystal
Pr 0.0000 0.0000 0.0000
Dy 0.5000 0.5000 0.0000
Lu 0.0000 0.5000 0.5000
Lu 0.5000 0.0000 0.5000
```

***

Which one sits at the top of the stability order? (x) does.

***

(w)
Density functional theory data (PBE-GGA) for an optimized crystal structure of PrDy2Lu. Values from VASP.

```
&SYSTEM
  ibrav = 0, nat = 4, ntyp = 3
/
ATOMIC_SPECIES
Pr 140.91 Pr.upf
Dy 162.50 Dy.upf
Lu 174.97 Lu.upf
CELL_PARAMETERS angstrom
3.5618 0.0000 0.0000
0.0000 3.5618 0.0000
0.0000 0.0000 10.1185
ATOMIC_POSITIONS crystal
Pr 0.0000 0.0000 0.0000
Dy 0.5000 0.5000 0.2582
Dy 0.5000 0.5000 0.7418
Lu 0.0000 0.0000 0.5000
```

***

(x)
Density functional theory data (PBE-GGA) for an optimized crystal structure of PrDy2Lu. Values from VASP.

```
&SYSTEM
  ibrav = 0, nat = 4, ntyp = 3
/
ATOMIC_SPECIES
Pr 140.91 Pr.upf
Dy 162.50 Dy.upf
Lu 174.97 Lu.upf
CELL_PARAMETERS angstrom
0.0000 4.0172 4.0172
4.0172 0.0000 4.0172
4.0172 4.0172 0.0000
ATOMIC_POSITIONS crystal
Pr 0.0000 0.0000 0.0000
Dy 0.2500 0.2500 0.2500
Dy 0.7500 0.7500 0.7500
Lu 0.5000 0.5000 0.5000
```

***

Which one sits at the top of the stability order? (w) does.